Sc2VGa2Ru5 after structural relaxation. Source: Alexandria, functional PBE.

Unit cell a=3.2496 b=9.8275 c=9.8275 alpha=90.00 beta=90.00 gamma=90.00
Fractional positions:
Sc1 0.0000 0.6684 0.1684
Sc2 0.0000 0.3316 0.8316
Sc3 0.0000 0.1684 0.3316
Sc4 0.0000 0.8316 0.6684
V1 0.0000 0.0000 0.0000
V2 0.0000 0.5000 0.5000
Ga1 0.0000 0.1321 0.6321
Ga2 0.0000 0.8679 0.3679
Ga3 0.0000 0.6321 0.8679
Ga4 0.0000 0.3679 0.1321
Ru1 0.5000 0.1911 0.0630
Ru2 0.5000 0.8089 0.9370
Ru3 0.5000 0.0630 0.8089
Ru4 0.5000 0.6911 0.4370
Ru5 0.5000 0.9370 0.1911
Ru6 0.5000 0.3089 0.5630
Ru7 0.5000 0.5630 0.6911
Ru8 0.5000 0.4370 0.3089
Ru9 0.5000 0.5000 0.0000
Ru10 0.5000 0.0000 0.5000

Calculated values
final energy: -155.27 eV per cell
formation enthalpy at 0 K: -0.342 eV/atom
symmetry: P4/mbm, No. 127
M_tot: 0.00 μB per cell